No. 1
Material: Ta3TcSb
Method: DFT, PBE
State: relaxed

Cell and atoms, written as POSCAR:
```
Ta3TcSb
1.0
4.835 0.000 0.000
0.000 4.835 0.000
0.000 0.000 4.835
Ta Tc Sb
3 1 1
Direct
0.000 0.000 0.500
0.000 0.500 0.000
0.500 0.000 0.000
0.000 0.000 0.000
0.500 0.500 0.500
```

* SG: Pm-3m, No. 221
* uncorrected energy: -45.02 eV per cell
* offset from the most stable computed form: 0.0000 eV/atom
* formation energy (no corrections): 1006 meV per atom
* crystal system: cubic

***

No. 2
Material: NaPa2I11
Method: DFT, PBE
State: relaxed

Cell and atoms, written as POSCAR:
```
NaPa2I11
1.0
-6.090 8.748 7.956
6.090 -8.748 7.956
6.090 8.748 -7.956
Na Pa I
2 4 22
Direct
0.250 0.250 0.000
0.750 0.750 0.000
0.078 0.728 0.807
0.422 0.228 0.650
0.578 0.772 0.350
0.922 0.272 0.193
0.000 0.500 0.500
0.045 0.516 0.826
0.091 0.925 0.759
0.151 0.941 0.092
0.165 0.331 0.241
0.190 0.016 0.471
0.310 0.781 0.826
0.335 0.575 0.166
0.349 0.441 0.790
0.409 0.169 0.834
0.455 0.281 0.471
0.500 0.000 0.500
0.545 0.719 0.529
0.591 0.831 0.166
0.651 0.559 0.210
0.665 0.425 0.834
0.690 0.219 0.174
0.810 0.984 0.529
0.835 0.669 0.759
0.849 0.059 0.908
0.909 0.075 0.241
0.955 0.484 0.174
```

* SG: Ibam, No. 72
* uncorrected energy: -101.11 eV per cell
* formation energy (no corrections): -942 meV per atom
* crystal system: orthorhombic

***

No. 3
Material: Pm12SmTm3
Method: DFT, PBE
State: relaxed

Cell and atoms, written as POSCAR:
```
Pm12SmTm3
1.0
5.118 0.000 0.000
0.000 5.118 0.000
0.000 0.000 20.413
Pm Sm Tm
12 1 3
Direct
0.000 0.000 0.000
0.000 0.000 0.248
0.000 0.000 0.500
0.000 0.000 0.752
0.000 0.500 0.124
0.000 0.500 0.373
0.000 0.500 0.627
0.000 0.500 0.876
0.500 0.000 0.124
0.500 0.000 0.373
0.500 0.000 0.627
0.500 0.000 0.876
0.500 0.500 0.500
0.500 0.500 0.000
0.500 0.500 0.249
0.500 0.500 0.751
```

* SG: P4/mmm, No. 123
* ΔH_f (0 K): 0.02 eV/atom
* uncorrected energy: -74.89 eV per cell
* crystal system: tetragonal

***

No. 4
Material: Rb2SBr
Method: DFT, PBE
State: relaxed

Cell and atoms, written as POSCAR:
```
Rb2SBr
1.0
0.000 4.134 4.134
4.134 0.000 4.134
4.134 4.134 0.000
Rb S Br
2 1 1
Direct
0.250 0.250 0.250
0.750 0.750 0.750
0.000 0.000 0.000
0.500 0.500 0.500
```

* SG: Fm-3m, No. 225
* uncorrected energy: -11.65 eV per cell
* offset from the most stable computed form: 0.0565 eV/atom
* formation energy (no corrections): -979 meV per atom
* crystal system: cubic

***

No. 5
Material: Tb2Pm8Sm3
Method: DFT, PBE
State: relaxed

Cell and atoms, written as POSCAR:
```
Tb2Pm8Sm3
1.0
7.431 -5.488 0.000
7.431 5.488 0.000
-1.870 0.000 5.468
Tb Pm Sm
2 8 3
Direct
0.171 0.171 0.304
0.829 0.829 0.696
0.075 0.075 0.741
0.101 0.559 0.337
0.333 0.333 0.873
0.441 0.899 0.663
0.559 0.101 0.337
0.667 0.667 0.127
0.899 0.441 0.663
0.925 0.925 0.259
0.255 0.745 0.000
0.500 0.500 0.500
0.745 0.255 0.000
```

* SG: C2/m, No. 12
* ΔH_f (0 K): 0.18 eV/atom
* uncorrected energy: -59.09 eV per cell
* offset from the most stable computed form: 0.0000 eV/atom
* crystal system: monoclinic

***

No. 6
Material: PrErTm4S8
Method: DFT, PBE
State: relaxed

Cell and atoms, written as POSCAR:
```
PrErTm4S8
1.0
4.006 2.313 6.554
-4.006 2.313 6.554
0.000 -4.626 6.554
Pr Er Tm S
1 1 4 8
Direct
0.000 0.000 0.000
0.625 0.625 0.625
0.128 0.625 0.625
0.251 0.251 0.251
0.625 0.128 0.625
0.625 0.625 0.128
0.381 0.381 0.855
0.381 0.855 0.381
0.382 0.382 0.382
0.414 0.863 0.863
0.855 0.381 0.381
0.862 0.862 0.862
0.863 0.414 0.863
0.863 0.863 0.414
```

* SG: R3m, No. 160
* uncorrected energy: -86.99 eV per cell
* formation energy (no corrections): -1910 meV per atom
* crystal system: trigonal

***

No. 7
Material: LaY2Ru
Method: DFT, PBE
State: relaxed

Cell and atoms, written as POSCAR:
```
LaY2Ru
1.0
-1.810 2.707 5.701
1.810 -2.707 5.701
1.810 2.707 -5.701
La Y Ru
1 2 1
Direct
0.000 0.000 0.000
0.308 0.808 0.500
0.692 0.192 0.500
0.500 0.500 0.000
```

* SG: Immm, No. 71
* ΔH_f (0 K): -0.14 eV/atom
* uncorrected energy: -27.68 eV per cell
* offset from the most stable computed form: 0.1518 eV/atom
* crystal system: orthorhombic

***

No. 8
Material: Ca3Cd2In2
Method: DFT, PBE
State: relaxed

Cell and atoms, written as POSCAR:
```
Ca3Cd2In2
1.0
2.339 -11.641 0.000
2.339 11.641 0.000
0.000 0.000 3.609
Ca Cd In
3 2 2
Direct
0.000 0.000 0.000
0.154 0.846 0.000
0.846 0.154 0.000
0.285 0.715 0.500
0.715 0.285 0.500
0.421 0.579 0.500
0.579 0.421 0.500
```

* SG: Cmmm, No. 65
* ΔH_f (0 K): -0.37 eV/atom
* uncorrected energy: -15.91 eV per cell
* crystal system: orthorhombic

***

No. 9
Material: LaBWAu2
Method: DFT, PBE
State: relaxed

Cell and atoms, written as POSCAR:
```
LaBWAu2
1.0
5.131 0.000 0.000
0.000 5.131 0.000
0.000 0.000 4.238
La B W Au
1 1 1 2
Direct
0.000 0.000 0.000
0.500 0.500 0.000
0.500 0.500 0.500
0.000 0.500 0.500
0.500 0.000 0.500
```

* SG: P4/mmm, No. 123
* ΔH_f (0 K): 0.32 eV/atom
* uncorrected energy: -29.49 eV per cell
* crystal system: tetragonal

***

No. 10
Material: Na2Os2O7
Method: DFT, PBE
State: relaxed

Cell and atoms, written as POSCAR:
```
Na2Os2O7
1.0
3.197 -3.634 0.000
3.197 3.634 0.000
0.000 0.000 5.584
Na Os O
2 2 7
Direct
0.246 0.246 0.000
0.754 0.754 0.000
0.280 0.720 0.500
0.720 0.280 0.500
0.000 0.000 0.500
0.000 0.500 0.285
0.000 0.500 0.715
0.500 0.000 0.285
0.500 0.000 0.715
0.500 0.500 0.301
0.500 0.500 0.699
```

* SG: Cmmm, No. 65
* uncorrected energy: -71.22 eV per cell
* offset from the most stable computed form: 0.2142 eV/atom
* formation energy (no corrections): -1038 meV per atom
* crystal system: orthorhombic

***

No. 11
Material: YCoPdS2
Method: DFT, PBE
State: relaxed

Cell and atoms, written as POSCAR:
```
YCoPdS2
1.0
4.653 0.000 0.000
0.000 4.653 0.000
0.000 0.000 5.257
Y Co Pd S
1 1 1 2
Direct
0.000 0.000 0.000
0.500 0.500 0.000
0.000 0.000 0.500
0.000 0.500 0.500
0.500 0.000 0.500
```

* SG: P4/mmm, No. 123
* uncorrected energy: -24.80 eV per cell
* formation energy (no corrections): 444 meV per atom
* crystal system: tetragonal

***

No. 12
Material: ErGa8Co2
Method: DFT, PBE
State: relaxed

Cell and atoms, written as POSCAR:
```
ErGa8Co2
1.0
5.667 0.000 0.000
0.000 5.667 0.000
0.000 0.000 7.201
Er Ga Co
1 8 2
Direct
0.000 0.000 0.000
0.256 0.256 0.305
0.256 0.256 0.695
0.256 0.744 0.305
0.256 0.744 0.695
0.744 0.256 0.305
0.744 0.256 0.695
0.744 0.744 0.305
0.744 0.744 0.695
0.000 0.500 0.500
0.500 0.000 0.500
```

* SG: P4/mmm, No. 123
* ΔH_f (0 K): 0.02 eV/atom
* uncorrected energy: -42.78 eV per cell
* crystal system: tetragonal